Compound: Yb2AgAu
Source: the Alexandria database
Functional: PBE-GGA
Structure: relaxed

Calculated formation energy (eV/atom): -0.68

abc: 7.2017 7.2017 7.2017
angles: 90.00 90.00 90.00
Space group Fm-3m (No. 225)
Symmetry-distinct sites (fractional):
1 Yb 0.2500 0.2500 0.2500 x8
2 Ag 0.0000 0.0000 0.0000 x4
3 Au 0.0000 0.0000 0.5000 x4


Compound: YbAgAu2
Source: the Alexandria database
Functional: PBE-GGA
Structure: relaxed

Calculated formation energy (eV/atom): -0.59

abc: 6.8744 6.8744 6.8744
angles: 90.00 90.00 90.00
Space group Fm-3m (No. 225)
Symmetry-distinct sites (fractional):
1 Yb 0.0000 0.0000 0.0000 x4
2 Ag 0.0000 0.0000 0.5000 x4
3 Au 0.2500 0.2500 0.2500 x8


Compound: Zn15Ag2Au2
Source: the Alexandria database
Functional: PBE-GGA
Structure: relaxed

Calculated formation energy (eV/atom): 0.03

abc: 8.7280 8.7280 13.9380
angles: 90.00 90.00 120.00
Space group R-3m (No. 166, hexagonal axes)
Symmetry-distinct sites (fractional):
1 Zn 0.0000 0.3302 0.0000 x18
2 Zn 0.0000 0.5000 0.5000 x9
3 Zn 0.0036 0.5018 0.1628 x18
4 Ag 0.0000 0.0000 0.0995 x6
5 Au 0.0000 0.0000 0.3857 x6


Compound: Zn8Ag4Au
Source: the Alexandria database
Functional: PBE-GGA
Structure: relaxed

Calculated formation energy (eV/atom): -0.02

abc: 2.9115 4.4187 16.7589
angles: 90.00 90.00 90.00
Space group Pmm2 (No. 25)
Symmetry-distinct sites (fractional):
1 Zn 0.0000 0.0000 0.0000 x1
2 Zn 0.0000 0.0000 0.2774 x1
3 Zn 0.0000 0.5000 0.1721 x1
4 Zn 0.0000 0.5000 0.4680 x1
5 Zn 0.5000 0.0000 0.4254 x1
6 Zn 0.5000 0.0000 0.7104 x1
7 Zn 0.5000 0.5000 0.6227 x1
8 Zn 0.5000 0.5000 0.9643 x1
9 Ag 0.0000 0.0000 0.5691 x1
10 Ag 0.0000 0.5000 0.7763 x1
11 Ag 0.5000 0.0000 0.1347 x1
12 Ag 0.5000 0.5000 0.3218 x1
13 Au 0.5000 0.0000 0.8645 x1


Compound: ZnAgAu
Source: the Alexandria database
Functional: PBE-GGA
Structure: relaxed

Calculated formation energy (eV/atom): -0.08

abc: 2.8621 5.2761 6.9576
angles: 81.93 78.53 89.96
Space group P-1 (No. 2)
Symmetry-distinct sites (fractional):
1 Zn 0.2495 0.2585 0.4986 x2
2 Ag 0.4145 0.6326 0.1724 x2
3 Au 0.0948 0.8761 0.8109 x2


Compound: ZnAg5Au4
Source: the Alexandria database
Functional: PBE-GGA
Structure: relaxed

Calculated formation energy (eV/atom): -0.06

abc: 5.0275 5.9056 6.4893
angles: 76.50 75.61 73.09
Space group P-1 (No. 2)
Symmetry-distinct sites (fractional):
1 Zn 0.0000 0.0000 0.0000 x1
2 Ag 0.0000 0.5000 0.0000 x1
3 Ag 0.1992 0.8000 0.6059 x2
4 Ag 0.3945 0.6023 0.1999 x2
5 Au 0.1973 0.2965 0.6034 x2
6 Au 0.4003 0.0985 0.1959 x2


Compound: Zn6AgAu6
Source: the Alexandria database
Functional: PBE-GGA
Structure: relaxed

Calculated formation energy (eV/atom): -0.15

abc: 5.2854 5.2854 9.0316
angles: 90.00 90.00 120.00
Space group P6/mmm (No. 191)
Symmetry-distinct sites (fractional):
1 Zn 0.0000 0.5000 0.2473 x6
2 Ag 0.0000 0.0000 0.0000 x1
3 Au 0.0000 0.0000 0.3375 x2
4 Au 0.3333 0.6667 0.0000 x2
5 Au 0.3333 0.6667 0.5000 x2


Compound: Zn2Ag3Au2
Source: the Alexandria database
Functional: PBE-GGA
Structure: relaxed

Calculated formation energy (eV/atom): 0.02

abc: 7.9460 7.9460 7.9460
angles: 90.00 90.00 90.00
Space group I2_13 (No. 199)
Symmetry-distinct sites (fractional):
1 Zn 0.0414 0.0414 0.0414 x8
2 Ag 0.0000 0.2500 0.3024 x12
3 Au 0.1477 0.3523 0.6477 x8


Compound: Zn8AgAu6
Source: the Alexandria database
Functional: PBE-GGA
Structure: relaxed

Calculated formation energy (eV/atom): -0.15

abc: 7.7124 7.7124 16.0212
angles: 90.00 90.00 120.00
Space group R-3 (No. 148, hexagonal axes)
Symmetry-distinct sites (fractional):
1 Zn 0.0000 0.0000 0.1652 x6
2 Zn 0.9996 0.3171 0.3853 x18
3 Ag 0.0000 0.0000 0.5000 x3
4 Au 0.9996 0.3472 0.5583 x18


Compound: Zn10Ag6Au
Source: the Alexandria database
Functional: PBE-GGA
Structure: relaxed

Calculated formation energy (eV/atom): -0.01

abc: 7.8085 7.8085 5.3052
angles: 90.00 90.00 120.00
Space group P-31m (No. 162)
Symmetry-distinct sites (fractional):
1 Zn 0.0000 0.2690 0.3114 x6
2 Zn 0.3333 0.6667 0.0000 x2
3 Zn 0.3333 0.6667 0.5000 x2
4 Ag 0.0000 0.3797 0.7887 x6
5 Au 0.0000 0.0000 0.0000 x1


Compound: ZnAg3Au6
Source: the Alexandria database
Functional: PBE-GGA
Structure: relaxed

Calculated formation energy (eV/atom): -0.07

abc: 9.3420 4.0107 9.4244
angles: 90.00 90.80 90.00
Space group P2_1/m (No. 11)
Symmetry-distinct sites (fractional):
1 Zn 0.1114 0.2500 0.4416 x2
2 Ag 0.0982 0.7500 0.9467 x2
3 Ag 0.2934 0.2500 0.8453 x2
4 Ag 0.4919 0.7500 0.7503 x2
5 Au 0.0048 0.7500 0.2631 x2
6 Au 0.1838 0.7500 0.6331 x2
7 Au 0.1997 0.2500 0.1480 x2
8 Au 0.3039 0.7500 0.3474 x2
9 Au 0.3959 0.2500 0.5496 x2
10 Au 0.4007 0.7500 0.0492 x2


Compound: Zn5Ag2Au5
Source: the Alexandria database
Functional: PBE-GGA
Structure: relaxed

Calculated formation energy (eV/atom): -0.15

abc: 12.1854 3.8883 9.4566
angles: 90.00 116.72 90.00
Space group C2/m (No. 12)
Symmetry-distinct sites (fractional):
1 Zn 0.0000 0.0000 0.0000 x2
2 Zn 0.1611 0.0000 0.4995 x4
3 Zn 0.2453 0.5000 0.7618 x4
4 Ag 0.0806 0.0000 0.7493 x4
5 Au 0.0000 0.5000 0.5000 x2
6 Au 0.1090 0.5000 0.2706 x4
7 Au 0.1565 0.5000 0.9973 x4


Compound: ZnAgAu3
Source: the Alexandria database
Functional: PBE-GGA
Structure: relaxed

Calculated formation energy (eV/atom): 0.00

abc: 5.2635 7.4746 5.3272
angles: 90.00 116.12 90.00
Space group P2_1/m (No. 11)
Symmetry-distinct sites (fractional):
1 Zn 0.2113 0.2500 0.3627 x2
2 Ag 0.1542 0.2500 0.8308 x2
3 Au 0.2994 0.7500 0.6974 x2
4 Au 0.3424 0.5618 0.1962 x4


Compound: Zn5Ag2Au5
Source: the Alexandria database
Functional: PBE-GGA
Structure: relaxed

Calculated formation energy (eV/atom): -0.14

abc: 12.7381 3.9621 9.0193
angles: 90.00 118.92 90.00
Space group C2/m (No. 12)
Symmetry-distinct sites (fractional):
1 Zn 0.0000 0.0000 0.0000 x2
2 Zn 0.0806 0.0000 0.7528 x4
3 Zn 0.2494 0.0000 0.2504 x4
4 Ag 0.1698 0.0000 0.5119 x4
5 Au 0.0000 0.5000 0.5000 x2
6 Au 0.0768 0.5000 0.2419 x4
7 Au 0.1727 0.5000 0.0127 x4


Compound: Zn2Ag7Au3
Source: the Alexandria database
Functional: PBE-GGA
Structure: relaxed

Calculated formation energy (eV/atom): 0.02

abc: 2.9832 4.7998 15.6082
angles: 82.04 84.65 89.80
Space group P-1 (No. 2)
Symmetry-distinct sites (fractional):
1 Zn 0.1465 0.2560 0.2072 x2
2 Ag 0.0930 0.7117 0.3100 x2
3 Ag 0.1954 0.8034 0.1151 x2
4 Ag 0.4253 0.8034 0.6510 x2
5 Ag 0.5000 0.5000 0.5000 x1
6 Au 0.0000 0.0000 0.5000 x1
7 Au 0.2821 0.6810 0.9348 x2


Compound: Zn5AgAu6
Source: the Alexandria database
Functional: PBE-GGA
Structure: relaxed

Calculated formation energy (eV/atom): -0.17

abc: 4.2955 12.9144 7.1750
angles: 90.00 91.06 90.00
Space group C2/m (No. 12)
Symmetry-distinct sites (fractional):
1 Zn 0.0000 0.0000 0.0000 x2
2 Zn 0.0000 0.3296 0.0000 x4
3 Zn 0.0000 0.3415 0.5000 x4
4 Ag 0.0000 0.0000 0.5000 x2
5 Au 0.9998 0.1710 0.2501 x8
6 Au 0.9995 0.5000 0.2269 x4


Compound: Zn3Ag4Au
Source: the Alexandria database
Functional: PBE-GGA
Structure: relaxed

Calculated formation energy (eV/atom): -0.06

abc: 2.8832 4.3104 10.7982
angles: 90.00 90.00 90.00
Space group Pmm2 (No. 25)
Symmetry-distinct sites (fractional):
1 Zn 0.0000 0.0000 0.0000 x1
2 Zn 0.0000 0.5000 0.1327 x1
3 Zn 0.5000 0.0000 0.4885 x1
4 Ag 0.0000 0.0000 0.7515 x1
5 Ag 0.0000 0.5000 0.3818 x1
6 Ag 0.5000 0.0000 0.2329 x1
7 Ag 0.5000 0.5000 0.9002 x1
8 Au 0.5000 0.5000 0.6273 x1


Compound: Zn6Ag3Au
Source: the Alexandria database
Functional: PBE-GGA
Structure: relaxed

Calculated formation energy (eV/atom): -0.07

abc: 7.6016 4.5322 9.9209
angles: 90.00 110.62 90.00
Space group P2_1/m (No. 11)
Symmetry-distinct sites (fractional):
1 Zn 0.9998 0.2500 0.1663 x2
2 Zn 0.0019 0.2500 0.6765 x2
3 Zn 0.1970 0.7500 0.1347 x2
4 Zn 0.2113 0.2500 0.4722 x2
5 Zn 0.3959 0.7500 0.9320 x2
6 Zn 0.4134 0.2500 0.2735 x2
7 Ag 0.1757 0.7500 0.6279 x2
8 Ag 0.2015 0.2500 0.9774 x2
9 Ag 0.4045 0.2500 0.7743 x2
10 Au 0.3835 0.7500 0.4247 x2


Compound: Zn3AgAu12
Source: the Alexandria database
Functional: PBE-GGA
Structure: relaxed

Calculated formation energy (eV/atom): -0.09

abc: 4.1606 4.1606 16.1012
angles: 90.00 90.00 90.00
Space group P4/mmm (No. 123)
Symmetry-distinct sites (fractional):
1 Zn 0.0000 0.0000 0.0000 x1
2 Zn 0.0000 0.0000 0.2500 x2
3 Ag 0.0000 0.0000 0.5000 x1
4 Au 0.0000 0.5000 0.1233 x4
5 Au 0.0000 0.5000 0.3704 x4
6 Au 0.5000 0.5000 0.0000 x1
7 Au 0.5000 0.5000 0.2467 x2
8 Au 0.5000 0.5000 0.5000 x1


Compound: Zn3Ag2Au3
Source: the Alexandria database
Functional: PBE-GGA
Structure: relaxed

Calculated formation energy (eV/atom): -0.07

abc: 7.8730 7.8730 5.5012
angles: 90.00 90.00 120.00
Space group P6_3/mcm (No. 193)
Symmetry-distinct sites (fractional):
1 Zn 0.0000 0.3372 0.2500 x6
2 Ag 0.3333 0.6667 0.0000 x4
3 Au 0.0000 0.3210 0.7500 x6